Entry 1:
NdGdFe2Si2N | GGA-PBE | relaxed

Lattice parameters (Å, degrees): 10.6808 3.8885 6.8764 90.00 128.83 90.00
Last column: nearest neighbours and their distance in Å.
Space group Cm (No. 8)
Unique sites:
Nd  0.0000  0.0000  0.0000 (multiplicity 2)  2 N 2.61
Gd  0.1202  0.0000  0.5852 (multiplicity 2)  2 N 2.54
Fe  0.2579  0.5000  0.3810 (multiplicity 2)  1 N 1.79
Fe  0.3657  0.0000  0.2114 (multiplicity 2)  1 N 1.79
Si  0.2257  0.5000  0.0114 (multiplicity 2)  3 Fe 2.31-2.34
Si  0.3960  0.0000  0.5755 (multiplicity 2)  3 Fe 2.30-2.31
N  0.0638  0.5000  0.3030 (multiplicity 2)  2 Fe 1.79

Size of the total moment   0.006 μB/atom
Crystal system   monoclinic
E   -101.8 eV/cell

Entry 2:
NaGdFe | GGA-PBE | relaxed

Lattice parameters (Å, degrees): 6.7977 6.7977 6.7977 90.00 90.00 90.00
Last column: nearest neighbours and their distance in Å.
Space group F-43m (No. 216)
Unique sites:
Na  0.0000  0.0000  0.0000 (multiplicity 4)  4 Fe 2.94
Gd  0.0000  0.0000  0.5000 (multiplicity 4)  4 Fe 2.94
Fe  0.2500  0.2500  0.7500 (multiplicity 4)  4 Na 2.94, 4 Gd 2.94

Size of the total moment   0.616 μB/atom
E above lowest polymorph   0 meV per atom
Crystal system   cubic
E   -47.4 eV/cell

Entry 3:
NaGdFe | GGA-PBE | relaxed

Lattice parameters (Å, degrees): 6.8294 6.8294 6.8294 90.00 90.00 90.00
Last column: nearest neighbours and their distance in Å.
Space group F-43m (No. 216)
Unique sites:
Na  0.0000  0.0000  0.0000 (multiplicity 4)  4 Gd 2.96
Gd  0.2500  0.2500  0.7500 (multiplicity 4)  4 Fe 2.96, 4 Na 2.96
Fe  0.0000  0.0000  0.5000 (multiplicity 4)  4 Gd 2.96

Size of the total moment   0.633 μB/atom
E above lowest polymorph   321 meV per atom
Crystal system   cubic
E   -43.5 eV/cell

Entry 4:
NaGdFeS3 | GGA-PBE | relaxed

Lattice parameters (Å, degrees): 3.9269 12.7952 10.5516 90.00 90.00 90.00
Last column: nearest neighbours and their distance in Å.
Space group Cmcm (No. 63)
Unique sites:
Na  0.0000  0.2473  0.2500 (multiplicity 4)  6 S 3.00-3.03
Gd  0.0000  0.0000  0.0000 (multiplicity 4)  6 S 2.74-2.81
Fe  0.0000  0.4726  0.7500 (multiplicity 4)  4 S 2.27-2.37
S  0.0000  0.0759  0.7500 (multiplicity 4)  2 Fe 2.37
S  0.0000  0.3648  0.5785 (multiplicity 8)  1 Fe 2.27

Size of the total moment   0.665 μB/atom
E above lowest polymorph   23 meV per atom
Crystal system   orthorhombic
E   -136.5 eV/cell

- Look up the size of the total moment of the first one.
  0.006 μB/atom

- The lowest size of the total moment belongs to which entry?
  NdGdFe2Si2N

- What is the E in the second record?
  -47.4 eV/cell